Entry from Alexandria via LeMat-Bulk: an optimized crystal structure of CeDyAl (PBE).

formation energy from the elements: -0.2210 eV/atom
energy above the lowest structure with this stoichiometry: 0.0 meV/atom

The structure in POSCAR format:
```
CeDyAl
1.0
3.3479 0.0000 0.0000
0.0009 5.1812 0.0000
1.5865 0.0087 8.5189
Ce Dy Al
2 2 2
direct
0.2402 0.2499 0.4756
0.7598 0.7501 0.5244
0.0690 0.7502 0.8771
0.9310 0.2498 0.1229
0.3998 0.7496 0.2090
0.6002 0.2504 0.7910
```